(1)
The following is a DFT calculation (PBE) of LiTm6Tl5 after structural relaxation.

Structure (CIF):
```
data_LiTm6Tl5
_space_group_name_H-M_alt 'C m m m'
_space_group_IT_number 65
_space_group_name_Hall '-C 2 2'
_cell_length_a 5.274
_cell_length_b 15.982
_cell_length_c 7.403
_cell_angle_alpha 90.00
_cell_angle_beta 90.00
_cell_angle_gamma 90.00
loop_
_atom_site_label
_atom_site_fract_x
_atom_site_fract_y
_atom_site_fract_z
_atom_site_occupancy
Li1 0.000 0.000 0.000 1
Tm1 0.000 0.168 0.245 1
Tm2 0.000 0.500 0.256 1
Tl1 0.000 0.000 0.500 1
Tl2 0.000 0.333 0.500 1
Tl3 0.000 0.345 0.000 1
```

## Properties
E above lowest polymorph: 0.0000 eV/atom
uncorrected energy: -3.652 eV/atom
formation energy: -271 meV/atom



(2)
The following is a DFT calculation (PBE) of LiTm2Tl3 after structural relaxation.

Structure (CIF):
```
data_LiTm2Tl3
_space_group_name_H-M_alt 'C m c m'
_space_group_IT_number 63
_space_group_name_Hall '-C 2c 2'
_cell_length_a 3.439
_cell_length_b 28.107
_cell_length_c 6.567
_cell_angle_alpha 90.00
_cell_angle_beta 90.00
_cell_angle_gamma 90.00
loop_
_atom_site_label
_atom_site_fract_x
_atom_site_fract_y
_atom_site_fract_z
_atom_site_occupancy
Li1 0.000 0.163 0.250 1
Tm1 0.000 0.341 0.250 1
Tm2 0.000 0.496 0.750 1
Tl1 0.000 0.081 0.504 1
Tl2 0.000 0.256 0.750 1
```

## Properties
E above lowest polymorph: 0.1315 eV/atom
uncorrected energy: -3.150 eV/atom
formation energy: -157 meV/atom



(3)
The following is a DFT calculation (PBE) of LiTmTl2 after structural relaxation.

Structure (CIF):
```
data_LiTmTl2
_space_group_name_H-M_alt 'F m -3 m'
_space_group_IT_number 225
_space_group_name_Hall '-F 4 2 3'
_cell_length_a 7.279
_cell_length_b 7.279
_cell_length_c 7.279
_cell_angle_alpha 90.00
_cell_angle_beta 90.00
_cell_angle_gamma 90.00
loop_
_atom_site_label
_atom_site_fract_x
_atom_site_fract_y
_atom_site_fract_z
_atom_site_occupancy
Li1 0.000 0.000 0.000 1
Tm1 0.000 0.000 0.500 1
Tl1 0.250 0.250 0.250 1
```

## Properties
E above lowest polymorph: 0.0024 eV/atom
uncorrected energy: -3.070 eV/atom
formation energy: -290 meV/atom



(4)
The following is a DFT calculation (PBE) of LiTm2Tl9 after structural relaxation.

Structure (CIF):
```
data_LiTm2Tl9
_space_group_name_H-M_alt 'P 4/m m m'
_space_group_IT_number 123
_space_group_name_Hall '-P 4 2'
_cell_length_a 4.754
_cell_length_b 4.754
_cell_length_c 14.193
_cell_angle_alpha 90.00
_cell_angle_beta 90.00
_cell_angle_gamma 90.00
loop_
_atom_site_label
_atom_site_fract_x
_atom_site_fract_y
_atom_site_fract_z
_atom_site_occupancy
Li1 0.000 0.000 0.000 1
Tm1 0.000 0.000 0.336 1
Tl1 0.000 0.500 0.164 1
Tl2 0.000 0.500 0.500 1
Tl3 0.500 0.500 0.000 1
Tl4 0.500 0.500 0.332 1
```

## Properties
uncorrected energy: -2.801 eV/atom
formation energy: -122 meV/atom



> Number 4 is which compound?

LiTm2Tl9